Material: LaVSeO2
Method: DFT, PBE+U
State: relaxed

Values from the calculation:
Crystal system   monoclinic
Electronic total energy   -37.170 eV/cell

```
data_LaVSeO2
_chemical_formula_sum 'La1 V1 Se1 O2'
_cell_length_a 4.0103
_cell_length_b 4.0102
_cell_length_c 5.7214
_cell_angle_alpha 90.07
_cell_angle_beta 90.00
_cell_angle_gamma 90.00
_symmetry_space_group_name_H-M 'P 1'
_symmetry_Int_Tables_number 1
loop_
_symmetry_equiv_pos_as_xyz
'x,y,z'
loop_
_atom_site_label
_atom_site_type_symbol
_atom_site_fract_x
_atom_site_fract_y
_atom_site_fract_z
O1 O 0.5000 0.0004 0.9328
O2 O 0.0000 0.5003 0.9328
Se1 Se 0.0000 0.9992 0.4512
La1 La 0.5000 0.4997 0.6828
V1 V 0.0000 0.0004 0.0004
```